No. 1
Computed, not measured: LaNbIr after structural relaxation at the PBE level of DFT.

CIF file:
```
data_LaNbIr
_chemical_formula_sum 'La4 Nb4 Ir4'
_space_group_name_H-M_alt 'F -4 3 m'
_space_group_IT_number 216
_space_group_name_Hall 'F -4 2 3'
_cell_length_a 6.667
_cell_length_b 6.667
_cell_length_c 6.667
_cell_angle_alpha 90.00
_cell_angle_beta 90.00
_cell_angle_gamma 90.00
loop_
_atom_site_label
_atom_site_type_symbol
_atom_site_fract_x
_atom_site_fract_y
_atom_site_fract_z
_atom_site_occupancy
La1 La 0.000 0.000 0.000 1
Nb1 Nb 0.000 0.000 0.500 1
Ir1 Ir 0.250 0.250 0.250 1
```

No. 2
Computed, not measured: Na2RePbO6 after structural relaxation at the PBE level of DFT.

CIF file:
```
data_Na2RePbO6
_chemical_formula_sum 'Na4 Re2 Pb2 O12'
_space_group_name_H-M_alt 'P 1 21/c 1'
_space_group_IT_number 14
_cell_length_a 5.508
_cell_length_b 5.704
_cell_length_c 9.636
_cell_angle_alpha 90.00
_cell_angle_beta 124.65
_cell_angle_gamma 90.00
loop_
_space_group_symop_operation_xyz
'x,y,z'
'-x,-y,-z'
'-x,y+1/2,-z+1/2'
'x,-y+1/2,z+1/2'
loop_
_atom_site_label
_atom_site_type_symbol
_atom_site_fract_x
_atom_site_fract_y
_atom_site_fract_z
_atom_site_occupancy
Na1 Na 0.235 0.059 0.249 1
Re1 Re 0.000 0.000 0.500 1
Pb1 Pb 0.500 0.000 0.000 1
O1 O 0.094 0.217 0.936 1
O2 O 0.228 0.670 0.943 1
O3 O 0.340 0.043 0.724 1
```

No. 3
Computed, not measured: LaCuPbSe3 after structural relaxation at the PBE level of DFT.

CIF file:
```
data_LaCuPbSe3
_chemical_formula_sum 'La4 Cu4 Pb4 Se12'
_space_group_name_H-M_alt 'C 1 2/m 1'
_space_group_IT_number 12
_cell_length_a 19.517
_cell_length_b 4.219
_cell_length_c 8.264
_cell_angle_alpha 90.00
_cell_angle_beta 104.83
_cell_angle_gamma 90.00
loop_
_space_group_symop_operation_xyz
'x,y,z'
'-x,-y,-z'
'-x,y,-z'
'x,-y,z'
'x+1/2,y+1/2,z'
'-x+1/2,-y+1/2,-z'
'-x+1/2,y+1/2,-z'
'x+1/2,-y+1/2,z'
loop_
_atom_site_label
_atom_site_type_symbol
_atom_site_fract_x
_atom_site_fract_y
_atom_site_fract_z
_atom_site_occupancy
La1 La 0.160 0.000 0.083 1
Cu1 Cu 0.039 0.500 0.200 1
Pb1 Pb 0.116 0.000 0.562 1
Se1 Se 0.000 0.000 0.000 1
Se2 Se 0.000 0.500 0.500 1
Se3 Se 0.166 0.500 0.336 1
Se4 Se 0.178 0.500 0.842 1
```

No. 4
Computed, not measured: Sr11Cd6Sb12 after structural relaxation at the PBE level of DFT.

CIF file:
```
data_Sr11Cd6Sb12
_chemical_formula_sum 'Sr22 Cd12 Sb24'
_space_group_name_H-M_alt 'C 1 2/m 1'
_space_group_IT_number 12
_cell_length_a 33.174
_cell_length_b 4.808
_cell_length_c 12.676
_cell_angle_alpha 90.00
_cell_angle_beta 109.93
_cell_angle_gamma 90.00
loop_
_space_group_symop_operation_xyz
'x,y,z'
'-x,-y,-z'
'-x,y,-z'
'x,-y,z'
'x+1/2,y+1/2,z'
'-x+1/2,-y+1/2,-z'
'-x+1/2,y+1/2,-z'
'x+1/2,-y+1/2,z'
loop_
_atom_site_label
_atom_site_type_symbol
_atom_site_fract_x
_atom_site_fract_y
_atom_site_fract_z
_atom_site_occupancy
Sr1 Sr 0.000 0.000 0.000 1
Sr2 Sr 0.019 0.000 0.681 1
Sr3 Sr 0.114 0.000 0.506 1
Sr4 Sr 0.126 0.000 0.015 1
Sr5 Sr 0.201 0.000 0.343 1
Sr6 Sr 0.222 0.500 0.868 1
Cd1 Cd 0.048 0.500 0.245 1
Cd2 Cd 0.100 0.500 0.745 1
Cd3 Cd 0.219 0.000 0.667 1
Sb1 Sb 0.043 0.500 0.500 1
Sb2 Sb 0.047 0.500 0.885 1
Sb3 Sb 0.090 0.000 0.233 1
Sb4 Sb 0.150 0.000 0.784 1
Sb5 Sb 0.191 0.500 0.529 1
Sb6 Sb 0.204 0.500 0.134 1
```

No. 5
Computed, not measured: ThTaHg after structural relaxation at the PBE level of DFT.

CIF file:
```
data_ThTaHg
_chemical_formula_sum 'Th4 Ta4 Hg4'
_space_group_name_H-M_alt 'F -4 3 m'
_space_group_IT_number 216
_space_group_name_Hall 'F -4 2 3'
_cell_length_a 7.135
_cell_length_b 7.135
_cell_length_c 7.135
_cell_angle_alpha 90.00
_cell_angle_beta 90.00
_cell_angle_gamma 90.00
loop_
_atom_site_label
_atom_site_type_symbol
_atom_site_fract_x
_atom_site_fract_y
_atom_site_fract_z
_atom_site_occupancy
Th1 Th 0.000 0.000 0.000 1
Ta1 Ta 0.250 0.250 0.250 1
Hg1 Hg 0.250 0.250 0.750 1
```

No. 6
Computed, not measured: GdDy2Cu4Ge4 after structural relaxation at the PBE level of DFT.

CIF file:
```
data_GdDy2Cu4Ge4
_chemical_formula_sum 'Gd2 Dy4 Cu8 Ge8'
_space_group_name_H-M_alt 'I m m m'
_space_group_IT_number 71
_space_group_name_Hall '-I 2 2'
_cell_length_a 4.199
_cell_length_b 6.673
_cell_length_c 13.953
_cell_angle_alpha 90.00
_cell_angle_beta 90.00
_cell_angle_gamma 90.00
loop_
_atom_site_label
_atom_site_type_symbol
_atom_site_fract_x
_atom_site_fract_y
_atom_site_fract_z
_atom_site_occupancy
Gd1 Gd 0.000 0.000 0.000 1
Dy1 Dy 0.000 0.500 0.130 1
Cu1 Cu 0.000 0.310 0.331 1
Ge1 Ge 0.000 0.000 0.217 1
Ge2 Ge 0.000 0.191 0.500 1
```

No. 7
Computed, not measured: CoCuBiB after structural relaxation at the PBE level of DFT.

CIF file:
```
data_CoCuBiB
_chemical_formula_sum 'Co4 Cu4 Bi4 B4'
_space_group_name_H-M_alt 'F -4 3 m'
_space_group_IT_number 216
_space_group_name_Hall 'F -4 2 3'
_cell_length_a 6.099
_cell_length_b 6.099
_cell_length_c 6.099
_cell_angle_alpha 90.00
_cell_angle_beta 90.00
_cell_angle_gamma 90.00
loop_
_atom_site_label
_atom_site_type_symbol
_atom_site_fract_x
_atom_site_fract_y
_atom_site_fract_z
_atom_site_occupancy
Co1 Co 0.000 0.000 0.000 1
Cu1 Cu 0.000 0.000 0.500 1
Bi1 Bi 0.250 0.250 0.750 1
B1 B 0.250 0.250 0.250 1
```

No. 8
Computed, not measured: ScGaGePt after structural relaxation at the PBE level of DFT.

CIF file:
```
data_ScGaGePt
_chemical_formula_sum 'Sc4 Ga4 Ge4 Pt4'
_space_group_name_H-M_alt 'C m c 21'
_space_group_IT_number 36
_cell_length_a 4.249
_cell_length_b 9.927
_cell_length_c 6.550
_cell_angle_alpha 90.00
_cell_angle_beta 90.00
_cell_angle_gamma 90.00
loop_
_space_group_symop_operation_xyz
'x,y,z'
'-x,-y,z+1/2'
'-x,y,z'
'x,-y,z+1/2'
'x+1/2,y+1/2,z'
'-x+1/2,-y+1/2,z+1/2'
'-x+1/2,y+1/2,z'
'x+1/2,-y+1/2,z+1/2'
loop_
_atom_site_label
_atom_site_type_symbol
_atom_site_fract_x
_atom_site_fract_y
_atom_site_fract_z
_atom_site_occupancy
Sc1 Sc 0.000 0.083 0.000 1
Ga1 Ga 0.000 0.374 0.204 1
Ge1 Ge 0.000 0.374 0.793 1
Pt1 Pt 0.000 0.201 0.499 1
```

No. 9
Computed, not measured: LaAgNO after structural relaxation at the PBE level of DFT.

CIF file:
```
data_LaAgNO
_chemical_formula_sum 'La4 Ag4 N4 O4'
_space_group_name_H-M_alt 'P c a 21'
_space_group_IT_number 29
_cell_length_a 6.261
_cell_length_b 8.108
_cell_length_c 5.448
_cell_angle_alpha 90.00
_cell_angle_beta 90.00
_cell_angle_gamma 90.00
loop_
_space_group_symop_operation_xyz
'x,y,z'
'-x,-y,z+1/2'
'-x+1/2,y,z+1/2'
'x+1/2,-y,z'
loop_
_atom_site_label
_atom_site_type_symbol
_atom_site_fract_x
_atom_site_fract_y
_atom_site_fract_z
_atom_site_occupancy
La1 La 0.044 0.157 0.000 1
Ag1 Ag 0.018 0.626 0.001 1
N1 N 0.074 0.120 0.498 1
O1 O 0.130 0.609 0.527 1
```

No. 10
Computed, not measured: SrNbNO after structural relaxation at the PBE level of DFT.

CIF file:
```
data_SrNbNO
_chemical_formula_sum 'Sr4 Nb4 N4 O4'
_space_group_name_H-M_alt 'P c a 21'
_space_group_IT_number 29
_cell_length_a 6.326
_cell_length_b 8.053
_cell_length_c 5.358
_cell_angle_alpha 90.00
_cell_angle_beta 90.00
_cell_angle_gamma 90.00
loop_
_space_group_symop_operation_xyz
'x,y,z'
'-x,-y,z+1/2'
'-x+1/2,y,z+1/2'
'x+1/2,-y,z'
loop_
_atom_site_label
_atom_site_type_symbol
_atom_site_fract_x
_atom_site_fract_y
_atom_site_fract_z
_atom_site_occupancy
Sr1 Sr 0.069 0.150 0.000 1
Nb1 Nb 0.129 0.640 0.001 1
N1 N 0.024 0.159 0.499 1
O1 O 0.069 0.550 0.604 1
```

No. 11
Computed, not measured: Ta11Ni4 after structural relaxation at the PBE level of DFT.

CIF file:
```
data_Ta11Ni4
_chemical_formula_sum 'Ta22 Ni8'
_space_group_name_H-M_alt 'P 42/m n m'
_space_group_IT_number 136
_space_group_name_Hall '-P 4n 2n'
_cell_length_a 9.726
_cell_length_b 9.726
_cell_length_c 5.143
_cell_angle_alpha 90.00
_cell_angle_beta 90.00
_cell_angle_gamma 90.00
loop_
_atom_site_label
_atom_site_type_symbol
_atom_site_fract_x
_atom_site_fract_y
_atom_site_fract_z
_atom_site_occupancy
Ta1 Ta 0.000 0.000 0.000 1
Ta2 Ta 0.039 0.374 0.500 1
Ta3 Ta 0.103 0.103 0.500 1
Ta4 Ta 0.186 0.814 0.253 1
Ni1 Ni 0.069 0.257 0.000 1
```

No. 12
Computed, not measured: Li5ReO4 after structural relaxation at the PBE level of DFT.

CIF file:
```
data_Li5ReO4
_chemical_formula_sum 'Li5 Re1 O4'
_space_group_name_H-M_alt 'P 1 2/m 1'
_space_group_IT_number 10
_cell_length_a 5.140
_cell_length_b 2.998
_cell_length_c 5.480
_cell_angle_alpha 90.00
_cell_angle_beta 90.95
_cell_angle_gamma 90.00
loop_
_space_group_symop_operation_xyz
'x,y,z'
'-x,-y,-z'
'-x,y,-z'
'x,-y,z'
loop_
_atom_site_label
_atom_site_type_symbol
_atom_site_fract_x
_atom_site_fract_y
_atom_site_fract_z
_atom_site_occupancy
Li1 Li 0.000 0.000 0.000 1
Li2 Li 0.347 0.500 0.145 1
Li3 Li 0.371 0.000 0.673 1
Re1 Re 0.000 0.500 0.500 1
O1 O 0.239 0.500 0.823 1
O2 O 0.245 0.000 0.334 1
```

No. 13
Computed, not measured: CsAcCu after structural relaxation at the PBE level of DFT.

CIF file:
```
data_CsAcCu
_chemical_formula_sum 'Cs4 Ac4 Cu4'
_space_group_name_H-M_alt 'F -4 3 m'
_space_group_IT_number 216
_space_group_name_Hall 'F -4 2 3'
_cell_length_a 7.524
_cell_length_b 7.524
_cell_length_c 7.524
_cell_angle_alpha 90.00
_cell_angle_beta 90.00
_cell_angle_gamma 90.00
loop_
_atom_site_label
_atom_site_type_symbol
_atom_site_fract_x
_atom_site_fract_y
_atom_site_fract_z
_atom_site_occupancy
Cs1 Cs 0.000 0.000 0.000 1
Ac1 Ac 0.250 0.250 0.250 1
Cu1 Cu 0.250 0.250 0.750 1
```

No. 14
Computed, not measured: Ba2NbBiS6 after structural relaxation at the PBE level of DFT.

CIF file:
```
data_Ba2NbBiS6
_chemical_formula_sum 'Ba8 Nb4 Bi4 S24'
_space_group_name_H-M_alt 'F m -3 m'
_space_group_IT_number 225
_space_group_name_Hall '-F 4 2 3'
_cell_length_a 10.271
_cell_length_b 10.271
_cell_length_c 10.271
_cell_angle_alpha 90.00
_cell_angle_beta 90.00
_cell_angle_gamma 90.00
loop_
_atom_site_label
_atom_site_type_symbol
_atom_site_fract_x
_atom_site_fract_y
_atom_site_fract_z
_atom_site_occupancy
Ba1 Ba 0.250 0.250 0.250 1
Nb1 Nb 0.000 0.000 0.000 1
Bi1 Bi 0.000 0.000 0.500 1
S1 S 0.000 0.000 0.238 1
```

No. 15
Computed, not measured: Dy4BrNCl4 after structural relaxation at the PBE level of DFT.

CIF file:
```
data_Dy4BrNCl4
_chemical_formula_sum 'Dy8 Br2 N2 Cl8'
_space_group_name_H-M_alt 'C 1 2/m 1'
_space_group_IT_number 12
_cell_length_a 16.757
_cell_length_b 3.668
_cell_length_c 7.977
_cell_angle_alpha 90.00
_cell_angle_beta 104.07
_cell_angle_gamma 90.00
loop_
_space_group_symop_operation_xyz
'x,y,z'
'-x,-y,-z'
'-x,y,-z'
'x,-y,z'
'x+1/2,y+1/2,z'
'-x+1/2,-y+1/2,-z'
'-x+1/2,y+1/2,-z'
'x+1/2,-y+1/2,z'
loop_
_atom_site_label
_atom_site_type_symbol
_atom_site_fract_x
_atom_site_fract_y
_atom_site_fract_z
_atom_site_occupancy
Dy1 Dy 0.001 0.000 0.300 1
Dy2 Dy 0.143 0.500 0.576 1
Br1 Br 0.000 0.500 0.000 1
N1 N 0.000 0.500 0.500 1
Cl1 Cl 0.165 0.000 0.833 1
Cl2 Cl 0.171 0.000 0.338 1
```

No. 16
Computed, not measured: Ho2Er2CBr5 after structural relaxation at the PBE level of DFT.

CIF file:
```
data_Ho2Er2CBr5
_chemical_formula_sum 'Ho4 Er4 C2 Br10'
_space_group_name_H-M_alt 'C 1 2/m 1'
_space_group_IT_number 12
_cell_length_a 17.663
_cell_length_b 3.778
_cell_length_c 8.071
_cell_angle_alpha 90.00
_cell_angle_beta 103.01
_cell_angle_gamma 90.00
loop_
_space_group_symop_operation_xyz
'x,y,z'
'-x,-y,-z'
'-x,y,-z'
'x,-y,z'
'x+1/2,y+1/2,z'
'-x+1/2,-y+1/2,-z'
'-x+1/2,y+1/2,-z'
'x+1/2,-y+1/2,z'
loop_
_atom_site_label
_atom_site_type_symbol
_atom_site_fract_x
_atom_site_fract_y
_atom_site_fract_z
_atom_site_occupancy
Ho1 Ho 0.001 0.000 0.300 1
Er1 Er 0.138 0.500 0.572 1
C1 C 0.000 0.500 0.500 1
Br1 Br 0.000 0.500 0.000 1
Br2 Br 0.164 0.000 0.839 1
Br3 Br 0.170 0.000 0.329 1
```

No. 17
Computed, not measured: NdMgPO after structural relaxation at the PBE level of DFT.

CIF file:
```
data_NdMgPO
_chemical_formula_sum 'Nd2 Mg2 P2 O2'
_space_group_name_H-M_alt 'P 4/n m m'
_space_group_IT_number 129
_cell_length_a 4.418
_cell_length_b 4.418
_cell_length_c 9.246
_cell_angle_alpha 90.00
_cell_angle_beta 90.00
_cell_angle_gamma 90.00
loop_
_space_group_symop_operation_xyz
'x,y,z'
'-x,-y,-z'
'-y+1/2,x,z'
'y+1/2,-x,-z'
'-x+1/2,-y+1/2,z'
'x+1/2,y+1/2,-z'
'y,-x+1/2,z'
'-y,x+1/2,-z'
'x+1/2,-y,-z'
'-x+1/2,y,z'
'-y,-x,-z'
'y,x,z'
'-x,y+1/2,-z'
'x,-y+1/2,z'
'y+1/2,x+1/2,-z'
'-y+1/2,-x+1/2,z'
loop_
_atom_site_label
_atom_site_type_symbol
_atom_site_fract_x
_atom_site_fract_y
_atom_site_fract_z
_atom_site_occupancy
Nd1 Nd 0.250 0.750 0.000 1
Mg1 Mg 0.250 0.250 0.491 1
P1 P 0.250 0.250 0.182 1
O1 O 0.250 0.750 0.500 1
```

No. 18
Computed, not measured: SmCoB after structural relaxation at the PBE level of DFT.

CIF file:
```
data_SmCoB
_chemical_formula_sum 'Sm4 Co4 B4'
_space_group_name_H-M_alt 'F -4 3 m'
_space_group_IT_number 216
_space_group_name_Hall 'F -4 2 3'
_cell_length_a 5.871
_cell_length_b 5.871
_cell_length_c 5.871
_cell_angle_alpha 90.00
_cell_angle_beta 90.00
_cell_angle_gamma 90.00
loop_
_atom_site_label
_atom_site_type_symbol
_atom_site_fract_x
_atom_site_fract_y
_atom_site_fract_z
_atom_site_occupancy
Sm1 Sm 0.000 0.000 0.000 1
Co1 Co 0.000 0.000 0.500 1
B1 B 0.250 0.250 0.750 1
```

No. 19
Computed, not measured: SmDyIr after structural relaxation at the PBE level of DFT.

CIF file:
```
data_SmDyIr
_chemical_formula_sum 'Sm4 Dy4 Ir4'
_space_group_name_H-M_alt 'P n m a'
_space_group_IT_number 62
_cell_length_a 7.273
_cell_length_b 4.672
_cell_length_c 8.757
_cell_angle_alpha 90.00
_cell_angle_beta 90.00
_cell_angle_gamma 90.00
loop_
_space_group_symop_operation_xyz
'x,y,z'
'-x,-y,-z'
'-x+1/2,-y,z+1/2'
'x+1/2,y,-z+1/2'
'x+1/2,-y+1/2,-z+1/2'
'-x+1/2,y+1/2,z+1/2'
'-x,y+1/2,-z'
'x,-y+1/2,z'
loop_
_atom_site_label
_atom_site_type_symbol
_atom_site_fract_x
_atom_site_fract_y
_atom_site_fract_z
_atom_site_occupancy
Sm1 Sm 0.010 0.250 0.167 1
Dy1 Dy 0.141 0.250 0.580 1
Ir1 Ir 0.249 0.250 0.910 1
```

No. 20
Computed, not measured: HoTh after structural relaxation at the PBE level of DFT.

CIF file:
```
data_HoTh
_chemical_formula_sum 'Ho1 Th1'
_space_group_name_H-M_alt 'P -6 m 2'
_space_group_IT_number 187
_space_group_name_Hall 'P -6 2'
_cell_length_a 3.5306
_cell_length_b 3.5306
_cell_length_c 5.8662
_cell_angle_alpha 90.00
_cell_angle_beta 90.00
_cell_angle_gamma 120.00
loop_
_atom_site_label
_atom_site_type_symbol
_atom_site_fract_x
_atom_site_fract_y
_atom_site_fract_z
_atom_site_occupancy
Ho1 Ho 0.0000 0.0000 0.0000 1
Th1 Th 0.6667 0.3333 0.5000 1
```

In eV per atom, the calculated total energy values for the records above are, in order, -7.827; -6.299; -4.780; -3.348; -5.310; -4.929; -4.339; -5.799; -6.026; -7.602; -10.293; -5.690; -1.834; -5.406; -5.386; -5.002; -5.218; -5.848; -6.746; -5.936.
In Å³ per cell, the calculated volume values for the records above are, in order, 296; 249; 658; 1901; 363; 391; 227; 276; 277; 273; 487; 84; 426; 1083; 476; 525; 180; 202; 298; 63.